## Pm3IrCl (PBE)

Data for crystalline Pm3IrCl at its relaxed geometry.

abc: 3.853 9.646 7.792
angles: 90.00 90.00 90.00
Space group Pmmn (No. 59, origin choice 2)
Asymmetric unit:
1 Pm 0.250 0.071 0.168 x4
2 Pm 0.250 0.250 0.717 x2
3 Ir 0.250 0.750 0.030 x2
4 Cl 0.250 0.750 0.584 x2

Values from the calculation:
ΔE_f (raw) ... -0.8217 eV/atom
DOS at the Fermi energy ... 3.88 states/eV/f.u.



## La2CoAs4Pt3 (PBE)

Data for crystalline La2CoAs4Pt3 at its relaxed geometry.

abc: 4.401 4.401 10.083
angles: 90.00 90.00 90.00
Space group P-4m2 (No. 115)
Asymmetric unit:
1 La 0.000 0.500 0.246 x2
2 Co 0.500 0.500 0.000 x1
3 As 0.000 0.000 0.500 x1
4 As 0.000 0.500 0.873 x2
5 As 0.500 0.500 0.500 x1
6 Pt 0.000 0.000 0.000 x1
7 Pt 0.000 0.500 0.624 x2

Values from the calculation:
DOS at the Fermi energy ... 2.66 states/eV/f.u.
Energy of formation from the pure elements ... -0.89 eV/atom



## Li2NiAu (PBE)

Data for crystalline Li2NiAu at its relaxed geometry.

abc: 2.738 4.231 4.819
angles: 90.00 97.08 90.00
Space group P2/m (No. 10)
Asymmetric unit:
1 Li 0.221 0.000 0.260 x2
2 Ni 0.000 0.500 0.500 x1
3 Au 0.500 0.500 0.000 x1

Values from the calculation:
DOS at the Fermi energy ... 2.09 states/eV/f.u.
Energy of formation from the pure elements ... -0.19 eV/atom



## Ce3Cu2P4 (PBE)

Data for crystalline Ce3Cu2P4 at its relaxed geometry.

abc: 12.842 3.917 8.448
angles: 90.00 123.55 90.00
Space group C2/m (No. 12)
Asymmetric unit:
1 Ce 0.000 0.000 0.000 x2
2 Ce 0.131 0.500 0.719 x4
3 Cu 0.184 0.500 0.374 x4
4 P 0.085 0.000 0.399 x4
5 P 0.180 0.500 0.094 x4

Values from the calculation:
DOS at the Fermi energy ... 12.56 states/eV/f.u.
Energy of formation from the pure elements ... -1.03 eV/atom



## YTm3Pd (PBE)

Data for crystalline YTm3Pd at its relaxed geometry.

abc: 11.429 8.355 7.755
angles: 90.00 127.74 90.00
Space group C2/m (No. 12)
Asymmetric unit:
1 Y 0.041 0.000 0.307 x4
2 Tm 0.075 0.500 0.274 x4
3 Tm 0.203 0.300 0.737 x8
4 Pd 0.227 0.500 0.077 x4

Values from the calculation:
DOS at the Fermi energy ... 7.87 states/eV/f.u.
Energy of formation from the pure elements ... -0.29 eV/atom



## GaGe2Pd (PBE)

Data for crystalline GaGe2Pd at its relaxed geometry.

abc: 3.816 3.816 19.483
angles: 90.00 90.00 90.00
Space group I-42d (No. 122)
Asymmetric unit:
1 Ga 0.000 0.000 0.000 x4
2 Ge 0.245 0.250 0.625 x8
3 Pd 0.000 0.000 0.500 x4

Values from the calculation:
DOS at the Fermi energy ... 1.64 states/eV/f.u.
Energy of formation from the pure elements ... -0.06 eV/atom



## KTl2Co (PBE)

Data for crystalline KTl2Co at its relaxed geometry.

abc: 4.476 4.973 12.669
angles: 90.00 90.00 90.00
Space group Amm2 (No. 38)
Asymmetric unit:
1 K 0.000 0.000 0.000 x2
2 Tl 0.000 0.000 0.706 x2
3 Tl 0.500 0.000 0.330 x2
4 Co 0.500 0.000 0.792 x2

Values from the calculation:
DOS at the Fermi energy ... 2.82 states/eV/f.u.
Energy of formation from the pure elements ... 0.37 eV/atom



## Y3ScSn (PBE)

Data for crystalline Y3ScSn at its relaxed geometry.

abc: 5.415 5.415 5.415
angles: 90.00 90.00 90.00
Space group Pm-3m (No. 221)
Asymmetric unit:
1 Y 0.000 0.000 0.500 x3
2 Sc 0.000 0.000 0.000 x1
3 Sn 0.500 0.500 0.500 x1

Values from the calculation:
E above lowest polymorph ... 0.214 eV/atom
DOS at the Fermi energy ... 5.22 states/eV/f.u.
Energy of formation from the pure elements ... 0.53 eV/atom



## Na2CaAg2Sb2 (PBE)

Data for crystalline Na2CaAg2Sb2 at its relaxed geometry.

abc: 4.8448 4.8448 26.8717
angles: 90.00 90.00 120.00
Space group R-3m (No. 166, hexagonal axes)
Asymmetric unit:
1 Na 0.0000 0.0000 0.1349 x6
2 Ca 0.0000 0.0000 0.0000 x3
3 Ag 0.0000 0.0000 0.4032 x6
4 Sb 0.0000 0.0000 0.2590 x6

Values from the calculation:
ΔE_f (raw) ... -0.4779 eV/atom
DOS at the Fermi energy ... 0.49 states/eV/f.u.



## Nd2LuO (PBE)

Data for crystalline Nd2LuO at its relaxed geometry.

abc: 3.254 3.254 9.000
angles: 90.00 90.00 90.00
Space group P4/mmm (No. 123)
Asymmetric unit:
1 Nd 0.000 0.000 0.173 x2
2 Lu 0.500 0.500 0.500 x1
3 O 0.500 0.500 0.000 x1

Values from the calculation:
ΔE_f (raw) ... -0.8168 eV/atom
DOS at the Fermi energy ... 4.94 states/eV/f.u.



## ZnCd2Ga (PBE)

Data for crystalline ZnCd2Ga at its relaxed geometry.

abc: 3.1129 3.1129 28.9680
angles: 90.00 90.00 120.00
Space group R3m (No. 160, hexagonal axes)
Asymmetric unit:
1 Zn 0.0000 0.0000 0.0000 x3
2 Cd 0.0000 0.0000 0.4142 x3
3 Cd 0.0000 0.0000 0.5859 x3
4 Ga 0.0000 0.0000 0.1664 x3

Values from the calculation:
DOS at the Fermi energy ... 1.59 states/eV/f.u.
Energy of formation from the pure elements ... 0.09 eV/atom



## HoErGa (PBE)

Data for crystalline HoErGa at its relaxed geometry.

abc: 6.967 6.967 6.967
angles: 90.00 90.00 90.00
Space group F-43m (No. 216)
Asymmetric unit:
1 Ho 0.000 0.000 0.000 x4
2 Er 0.000 0.000 0.500 x4
3 Ga 0.250 0.250 0.750 x4

Values from the calculation:
E above lowest polymorph ... 0.140 eV/atom
DOS at the Fermi energy ... 4.48 states/eV/f.u.
Energy of formation from the pure elements ... -0.25 eV/atom



## NbCrSeBr2 (PBE)

Data for crystalline NbCrSeBr2 at its relaxed geometry.

abc: 4.969 4.969 5.086
angles: 90.00 90.00 90.00
Space group P4/mmm (No. 123)
Asymmetric unit:
1 Nb 0.000 0.000 0.000 x1
2 Cr 0.500 0.500 0.500 x1
3 Se 0.500 0.500 0.000 x1
4 Br 0.000 0.500 0.500 x2

Values from the calculation:
ΔE_f (raw) ... 0.4114 eV/atom
E above lowest polymorph ... 0.260 eV/atom
DOS at the Fermi energy ... 6.01 states/eV/f.u.



## CePrTe2 (PBE)

Data for crystalline CePrTe2 at its relaxed geometry.

abc: 4.3436 4.3436 24.0618
angles: 90.00 90.00 120.00
Space group R3m (No. 160, hexagonal axes)
Asymmetric unit:
1 Ce 0.0000 0.0000 0.0000 x3
2 Pr 0.0000 0.0000 0.8271 x3
3 Te 0.0000 0.0000 0.2465 x3
4 Te 0.0000 0.0000 0.4136 x3

Values from the calculation:
ΔE_f (raw) ... -1.3697 eV/atom
E above lowest polymorph ... 0.042 eV/atom
DOS at the Fermi energy ... 7.82 states/eV/f.u.



## Tb2Er2Th3 (PBE)

Data for crystalline Tb2Er2Th3 at its relaxed geometry.

abc: 17.392 3.464 8.434
angles: 90.00 117.37 90.00
Space group C2/m (No. 12)
Asymmetric unit:
1 Tb 0.069 0.000 0.405 x4
2 Er 0.148 0.500 0.835 x4
3 Th 0.000 0.500 0.000 x2
4 Th 0.213 0.500 0.293 x4

Values from the calculation:
E above lowest polymorph ... 0.000 eV/atom
DOS at the Fermi energy ... 10.44 states/eV/f.u.
Energy of formation from the pure elements ... 0.14 eV/atom



## Li2Ga2Cl7 (PBE)

Data for crystalline Li2Ga2Cl7 at its relaxed geometry.

abc: 10.150 10.234 6.724
angles: 90.00 117.97 90.00
Space group C2/m (No. 12)
Asymmetric unit:
1 Li 0.000 0.182 0.000 x4
2 Ga 0.199 0.500 0.400 x4
3 Cl 0.000 0.500 0.500 x2
4 Cl 0.071 0.000 0.279 x4
5 Cl 0.211 0.324 0.203 x8

Values from the calculation:
ΔE_f (raw) ... -1.2338 eV/atom
E above lowest polymorph ... 0.006 eV/atom
DOS at the Fermi energy ... 3.12 states/eV/f.u.